(1)
Density functional theory data (PBE-GGA) for La2DySc after structural relaxation.

a = 3.681 Å, b = 6.024 Å, c = 6.024 Å
α = 105.15°, β = 90.00°, γ = 90.00°
Positions (direct):
La1 0.000 0.500 0.000
La2 0.000 0.000 0.500
Dy1 0.500 0.000 0.000
Sc1 0.500 0.500 0.500

total moment = 0.000 μB/f.u.
E_form = 0.053 eV/atom

(2)
Density functional theory data (PBE-GGA) for NaScIn2Co after structural relaxation.

a = 5.039 Å, b = 5.039 Å, c = 4.620 Å
α = 90.00°, β = 90.00°, γ = 90.00°
Positions (direct):
Sc1 0.000 0.000 0.500
Na1 0.500 0.500 0.500
Co1 0.000 0.000 0.000
In1 0.000 0.500 0.000
In2 0.500 0.000 0.000

total moment = 0.000 μB/f.u.
E_form = -0.109 eV/atom

(3)
Density functional theory data (PBE-GGA) for KLi2Te after structural relaxation.

a = 4.056 Å, b = 4.055 Å, c = 8.201 Å
α = 90.00°, β = 90.00°, γ = 90.00°
Positions (direct):
K1 0.500 0.500 0.692
Li1 0.000 0.000 0.087
Li2 0.500 0.500 0.314
Te1 0.000 0.000 0.408

total moment = 0.000 μB/f.u.
raw formation energy = -2.02 eV/f.u.

(4)
Density functional theory data (PBE-GGA) for Zn5Cu4 after structural relaxation.

a = 3.676 Å, b = 5.978 Å, c = 5.978 Å
α = 84.58°, β = 72.10°, γ = 72.10°
Positions (direct):
Zn1 0.673 0.327 0.327
Zn2 0.327 0.673 0.673
Zn3 0.000 0.000 0.000
Zn4 0.000 0.673 0.327
Zn5 0.000 0.327 0.673
Cu1 0.667 0.000 0.667
Cu2 0.333 0.333 0.000
Cu3 0.333 0.000 0.333
Cu4 0.667 0.667 0.000

total moment = 0.000 μB/f.u.
E_form = -0.071 eV/atom

(5)
Density functional theory data (PBE-GGA) for CeDyTeN2 after structural relaxation.

a = 3.978 Å, b = 3.978 Å, c = 7.247 Å
α = 105.93°, β = 105.93°, γ = 90.00°
Positions (direct):
Ce1 0.171 0.171 0.342
Dy1 0.831 0.831 0.662
Te1 0.501 0.501 0.001
N1 0.749 0.249 0.497
N2 0.249 0.749 0.497

total moment = 0.000 μB/f.u.
raw formation energy = -6.61 eV/f.u.

(6)
Density functional theory data (PBE-GGA) for PrScSO2 after structural relaxation.

a = 3.947 Å, b = 3.947 Å, c = 5.890 Å
α = 90.00°, β = 90.00°, γ = 90.00°
Positions (direct):
Pr1 0.500 0.500 0.680
Sc1 0.000 0.000 0.030
S1 0.000 0.000 0.457
O1 0.000 0.500 0.917
O2 0.500 0.000 0.917

total moment = 0.000 μB/f.u.
raw formation energy = -15.19 eV/f.u.

(7)
Density functional theory data (PBE-GGA) for BC4 after structural relaxation.

a = 10.755 Å, b = 10.755 Å, c = 10.755 Å
α = 13.71°, β = 13.71°, γ = 13.71°
Positions (direct):
B1 0.149 0.149 0.149
B2 0.601 0.601 0.601
C1 0.797 0.797 0.797
C2 0.953 0.953 0.953
C3 0.399 0.399 0.399
C4 0.749 0.749 0.749
C5 0.202 0.202 0.202
C6 0.548 0.548 0.548
C7 0.001 0.001 0.001
C8 0.351 0.351 0.351

total moment = 0.000 μB/f.u.
E_form = 0.267 eV/atom

(8)
Density functional theory data (PBE-GGA) for SmSi2NiRu after structural relaxation.

a = 4.010 Å, b = 4.010 Å, c = 5.801 Å
α = 110.22°, β = 110.22°, γ = 90.00°
Positions (direct):
Sm1 0.000 0.000 0.000
Si1 0.626 0.626 0.251
Si2 0.374 0.374 0.749
Ni1 0.750 0.250 0.500
Ru1 0.250 0.750 0.500

total moment = 0.000 μB/f.u.
raw formation energy = -4.23 eV/f.u.

no.,E_tot (eV per atom)
1,-5.145
2,-4.155
3,-2.523
4,-2.600
5,-7.389
6,-8.069
7,-8.447
8,-6.970